No. 1
Pr2SmTi, optimized geometry, DFT PBE; ΔH_f (0 K) = 0.469 eV per atom; calculated total energy = -5.07 eV/atom; density = 6.4 g cm⁻³
1.0
1.715 0.990 12.147
-1.715 0.990 12.147
0.000 -1.980 12.147
Pr Sm Ti
2 1 1
direct
0.082 0.082 0.082
0.918 0.918 0.918
0.500 0.500 0.500
0.000 0.000 0.000


No. 2
TiCdSn2, optimized geometry, DFT PBE; ΔH_f (0 K) = 0.061 eV per atom; calculated total energy = -4.14 eV/atom; density = 6.7 g cm⁻³
1.0
2.214 1.278 5.782
-2.214 1.278 5.782
0.000 -2.556 5.782
Ti Cd Sn
1 1 2
direct
0.000 0.000 0.000
0.825 0.825 0.825
0.403 0.403 0.403
0.590 0.590 0.590


No. 3
La2InCuH, optimized geometry, DFT PBE; calculated total energy = -4.33 eV/atom; density = 6.8 g cm⁻³
1.0
5.211 0.000 0.000
0.000 5.211 0.000
0.000 0.000 4.129
La In Cu H
2 1 1 1
direct
0.000 0.500 0.000
0.500 0.000 0.000
0.000 0.000 0.500
0.500 0.500 0.500
0.500 0.500 0.000


No. 4
BiOsC2N, optimized geometry, DFT PBE; calculated total energy = -3.91 eV/atom; density = 7.3 g cm⁻³; E_form (uncorrected) = 22.32 eV per formula unit
1.0
4.334 0.000 0.000
0.000 4.334 0.000
0.000 0.000 5.272
Bi Os C N
1 1 2 1
direct
0.000 0.000 0.000
0.000 0.000 0.500
0.000 0.500 0.000
0.500 0.000 0.000
0.500 0.500 0.500


No. 5
Rb2BAsPt, optimized geometry, DFT PBE; ΔH_f (0 K) = 0.574 eV per atom; calculated total energy = -3.29 eV/atom; density = 4.9 g cm⁻³
1.0
6.540 0.000 0.000
0.000 6.540 0.000
0.000 0.000 3.587
Rb B As Pt
2 1 1 1
direct
0.000 0.500 0.000
0.500 0.000 0.000
0.000 0.000 0.000
0.000 0.000 0.500
0.500 0.500 0.500


No. 6
Bi2Te2Pd3, optimized geometry, DFT PBE; calculated total energy = -4.55 eV/atom; density = 9.6 g cm⁻³; energy above the most stable polymorph in this dataset = 0 meV per atom; E_form (uncorrected) = -2.23 eV per formula unit
1.0
6.746 0.000 0.000
0.000 7.375 0.000
-1.817 0.000 6.935
Bi Te Pd
4 4 6
direct
0.135 0.158 0.378
0.135 0.342 0.878
0.865 0.658 0.122
0.865 0.842 0.622
0.364 0.668 0.603
0.364 0.832 0.103
0.636 0.168 0.897
0.636 0.332 0.397
0.000 0.000 0.000
0.000 0.500 0.500
0.273 0.513 0.239
0.273 0.987 0.739
0.727 0.013 0.261
0.727 0.487 0.761


No. 7
TbPrGeH, optimized geometry, DFT PBE; calculated total energy = -4.96 eV/atom; density = 7.4 g cm⁻³
1.0
4.420 0.000 0.000
0.000 4.420 0.000
0.000 0.000 8.614
Tb Pr Ge H
2 2 2 2
direct
0.250 0.750 0.000
0.750 0.250 0.000
0.250 0.250 0.374
0.750 0.750 0.626
0.250 0.250 0.765
0.750 0.750 0.235
0.250 0.750 0.500
0.750 0.250 0.500


No. 8
CdTe3, optimized geometry, DFT PBE; calculated total energy = -2.52 eV/atom; density = 6.8 g cm⁻³; E_form (uncorrected) = 0.28 eV per formula unit
1.0
8.250 0.000 0.000
-4.125 7.145 0.000
0.000 0.000 4.128
Cd Te
2 6
direct
0.333 0.667 0.250
0.667 0.333 0.750
0.171 0.341 0.750
0.171 0.829 0.750
0.341 0.171 0.250
0.659 0.829 0.750
0.829 0.171 0.250
0.829 0.659 0.250


No. 9
Li2ScVAu, optimized geometry, DFT PBE; ΔH_f (0 K) = 0.577 eV per atom; calculated total energy = -3.93 eV/atom; density = 5.0 g cm⁻³
1.0
4.528 0.000 0.000
0.000 4.528 0.000
0.000 0.000 4.924
Li Sc V Au
2 1 1 1
direct
0.000 0.500 0.000
0.500 0.000 0.000
0.000 0.000 0.500
0.500 0.500 0.000
0.500 0.500 0.500


No. 10
Ac2MgSiPt6, optimized geometry, DFT PBE; calculated total energy = -6.07 eV/atom; density = 12.9 g cm⁻³; E_form (uncorrected) = -9.25 eV per formula unit
1.0
5.640 0.000 0.000
2.814 5.941 0.000
2.818 -0.551 6.442
Ac Mg Si Pt
2 1 1 6
direct
0.041 0.217 0.201
0.959 0.783 0.799
0.500 0.500 0.000
0.500 0.000 0.500
0.014 0.243 0.724
0.364 0.386 0.387
0.480 0.758 0.276
0.520 0.242 0.724
0.636 0.614 0.613
0.986 0.757 0.276


No. 11
Na3Hg2Se4, optimized geometry, DFT PBE; calculated total energy = -2.63 eV/atom; density = 5.0 g cm⁻³; energy above the most stable polymorph in this dataset = 7 meV per atom; E_form (uncorrected) = -5.17 eV per formula unit
1.0
7.491 -1.979 0.000
7.491 1.979 0.000
-6.672 0.000 8.720
Na Hg Se
3 2 4
direct
0.000 0.000 0.000
0.182 0.182 0.795
0.818 0.818 0.205
0.385 0.385 0.639
0.615 0.615 0.361
0.250 0.250 0.340
0.414 0.414 0.113
0.586 0.586 0.887
0.750 0.750 0.660


No. 12
In3TcRu, optimized geometry, DFT PBE; ΔH_f (0 K) = 0.921 eV per atom; calculated total energy = -4.65 eV/atom; density = 6.9 g cm⁻³; energy above the most stable polymorph in this dataset = 0 meV per atom
1.0
5.080 0.000 0.000
0.000 5.080 0.000
0.000 0.000 5.080
In Tc Ru
3 1 1
direct
0.000 0.000 0.500
0.000 0.500 0.000
0.500 0.000 0.000
0.500 0.500 0.500
0.000 0.000 0.000


No. 13
InRhPb2, optimized geometry, DFT PBE; ΔH_f (0 K) = 0.241 eV per atom; calculated total energy = -4.14 eV/atom; density = 11.0 g cm⁻³
1.0
0.000 3.629 3.629
3.629 0.000 3.629
3.629 3.629 0.000
In Rh Pb
1 1 2
direct
0.000 0.000 0.000
0.250 0.250 0.250
0.500 0.500 0.500
0.750 0.750 0.750


No. 14
TlSi2Au, optimized geometry, DFT PBE; calculated total energy = -3.70 eV/atom; density = 9.0 g cm⁻³; energy above the most stable polymorph in this dataset = 256 meV per atom; E_form (uncorrected) = 1.70 eV per formula unit
1.0
-1.843 2.843 4.014
1.843 -2.843 4.014
1.843 2.843 -4.014
Tl Si Au
1 2 1
direct
0.000 0.000 0.000
0.518 0.518 0.000
0.707 0.207 0.500
0.295 0.795 0.500


No. 15
Cs2AuF, optimized geometry, DFT PBE; calculated total energy = -3.15 eV/atom; density = 5.3 g cm⁻³; energy above the most stable polymorph in this dataset = 39 meV per atom; E_form (uncorrected) = -5.73 eV per formula unit
1.0
2.285 1.319 8.288
-2.285 1.319 8.288
0.000 -2.639 8.288
Cs Au F
2 1 1
direct
0.000 0.000 0.000
0.198 0.198 0.198
0.766 0.766 0.766
0.599 0.599 0.599


No. 16
RbPmAgBr6, optimized geometry, DFT PBE; calculated total energy = -3.34 eV/atom; density = 3.8 g cm⁻³; E_form (uncorrected) = -11.43 eV per formula unit
1.0
7.379 0.000 0.000
-3.689 6.390 0.000
0.000 0.000 15.220
Rb Pm Ag Br
2 2 2 12
direct
0.000 0.000 0.000
0.000 0.000 0.500
0.333 0.667 0.250
0.667 0.333 0.750
0.333 0.667 0.750
0.667 0.333 0.250
0.009 0.385 0.640
0.009 0.624 0.860
0.376 0.385 0.860
0.376 0.991 0.640
0.385 0.009 0.140
0.385 0.376 0.360
0.615 0.624 0.640
0.615 0.991 0.860
0.624 0.009 0.360
0.624 0.615 0.140
0.991 0.376 0.140
0.991 0.615 0.360


No. 17
SrAuSe2, optimized geometry, DFT PBE; calculated total energy = -3.62 eV/atom; density = 6.5 g cm⁻³; energy above the most stable polymorph in this dataset = 329 meV per atom; E_form (uncorrected) = -2.54 eV per formula unit
1.0
2.124 -3.596 0.000
2.124 3.596 0.000
0.000 0.000 7.344
Sr Au Se
1 1 2
direct
0.000 0.000 0.000
0.000 0.000 0.500
0.500 0.500 0.279
0.500 0.500 0.721


No. 18
HoHgPt, optimized geometry, DFT PBE; ΔH_f (0 K) = -0.798 eV per atom; calculated total energy = -4.44 eV/atom; density = 14.0 g cm⁻³
1.0
4.128 0.000 0.000
0.000 4.128 0.000
0.000 0.000 7.827
Ho Hg Pt
2 2 2
direct
0.250 0.250 0.148
0.750 0.750 0.852
0.250 0.750 0.500
0.750 0.250 0.500
0.250 0.250 0.787
0.750 0.750 0.213


No. 19
Ga4Ir, optimized geometry, DFT PBE; ΔH_f (0 K) = -0.194 eV per atom; calculated total energy = -4.39 eV/atom; density = 8.7 g cm⁻³; energy above the most stable polymorph in this dataset = 36 meV per atom
1.0
3.217 -5.544 0.000
3.217 5.544 0.000
-2.507 0.000 5.059
Ga Ir
8 2
direct
0.087 0.368 0.867
0.088 0.359 0.352
0.359 0.088 0.852
0.368 0.087 0.367
0.632 0.913 0.633
0.641 0.912 0.148
0.912 0.641 0.648
0.913 0.632 0.133
0.488 0.512 0.750
0.512 0.488 0.250


No. 20
Rb3Cu2ICl9, optimized geometry, DFT PBE; calculated total energy = -2.93 eV/atom; density = 3.4 g cm⁻³; E_form (uncorrected) = -14.69 eV per formula unit
1.0
7.232 0.000 0.000
-3.616 6.263 0.000
0.000 0.000 8.987
Rb Cu I Cl
3 2 1 9
direct
0.000 0.000 0.000
0.333 0.667 0.689
0.667 0.333 0.311
0.333 0.667 0.152
0.667 0.333 0.848
0.000 0.000 0.500
0.000 0.500 0.000
0.181 0.361 0.313
0.181 0.819 0.313
0.361 0.181 0.687
0.500 0.000 0.000
0.500 0.500 0.000
0.639 0.819 0.313
0.819 0.181 0.687
0.819 0.639 0.687